## CrWSe (SCAN)

Data for a PBEsol-optimized structure of CrWSe.

Its total DFT energy (no corrections) is -105.9 eV per formula unit. The volume is 197.5 Å³ per cell. As for the uncorrected formation energy: 757 meV per atom. The calculation puts the distance to the lowest polymorph of the same formula at 135 meV/atom.

The structure belongs to space group F-43m (No. 216); the cell edges are 5.823, 5.823 and 5.823 Å and the angles 90.00°, 90.00° and 90.00°. The inequivalent atoms are Cr at (0.000, 0.000, 0.000), W at (0.250, 0.250, 0.250) and Se at (0.000, 0.000, 0.500).